# 1
! Zn8NiIr2 PBE-GGA relaxed; values from VASP
! total magnetization: 0.00 μB per formula unit
! energy of formation from the pure elements: -1.74 eV/f.u.
! space-group type: Immm (71)
! mass density: 10.1 g cm⁻³
&SYSTEM
  ibrav = 0, nat = 11, ntyp = 3
/
ATOMIC_SPECIES
Zn 65.41 Zn.upf
Ir 192.22 Ir.upf
Ni 58.69 Ni.upf
CELL_PARAMETERS angstrom
-0.074 -0.521 -4.149
6.890 -1.424 0.055
-4.499 -4.281 2.726
ATOMIC_POSITIONS angstrom
Zn 1.698 -2.207 -1.861
Zn 0.618 -4.018 0.493
Zn 4.484 -2.783 -1.839
Zn 4.683 -0.968 0.038
Zn 2.608 -4.822 -1.550
Zn -2.168 -3.442 0.471
Zn -0.292 -1.404 0.181
Zn -2.367 -5.257 -1.406
Ir 2.972 -2.987 0.322
Ir -0.656 -3.238 -1.690
Ni -0.037 -0.260 -2.075

# 2
! Tb3Pr7Nd PBE-GGA relaxed; values from VASP
! total magnetization: 0.00 μB per formula unit
! energy of formation from the pure elements: 1.50 eV/f.u.
! space-group type: P-6m2 (187)
! mass density: 6.7 g cm⁻³
&SYSTEM
  ibrav = 0, nat = 11, ntyp = 3
/
ATOMIC_SPECIES
Tb 158.93 Tb.upf
Nd 144.24 Nd.upf
Pr 140.91 Pr.upf
CELL_PARAMETERS angstrom
3.644 0.000 0.000
0.000 9.730 -5.617
0.000 0.000 11.235
ATOMIC_POSITIONS angstrom
Tb 2.359 5.007 -2.562
Tb 2.359 9.444 0.000
Tb 2.359 5.007 2.562
Nd 0.536 6.486 0.000
Pr 0.534 3.243 5.617
Pr 0.535 8.247 -3.049
Pr 0.535 8.247 3.049
Pr 0.535 2.966 0.000
Pr 2.355 1.636 2.834
Pr 2.355 1.636 8.401
Pr 2.355 6.458 5.617